The following is a PBE+U calculation of a relaxed structure of PmTmV2O8, from Alexandria.

Summary:
- size of the total moment (μB/cell) = 0.0
- total DFT energy (no corrections) (eV/atom) = -8.043
- density (Mg/m³) = 5.37

Unit cell a=7.2581 b=7.2581 c=6.3791 alpha=90.00 beta=90.00 gamma=90.00
Closest atoms and distances in Å follow each position.
Space group I-4m2 (No. 119)
Symmetry-distinct sites (fractional):
Pm1 0.0000 0.0000 0.0000  8 O 2.37-2.50
Tm1 0.0000 0.5000 0.2500  8 O 2.32-2.43
V1 0.0000 0.0000 0.5000  4 O 1.74
V2 0.0000 0.5000 0.7500  4 O 1.74
O1 0.0000 0.1874 0.3290  1 V 1.74
O2 0.0000 0.3199 0.9294  1 V 1.74